Entry from OQMD: a relaxed Ba2HgAs crystal (PBE-GGA).

abc: 5.700 5.700 5.700
angles: 60.00 60.00 60.00
Fractional positions:
As 0.500 0.500 0.500
Ba 0.000 0.000 0.000
Ba 0.750 0.750 0.750
Hg 0.250 0.250 0.250

Summary:
Total DFT energy (no corrections)   -0.18502 Ry/atom